The following is a DFT calculation (PBE) of a relaxed structure of HfMo.

a = 4.705 Å, b = 3.281 Å, c = 4.712 Å
α = 90.00°, β = 90.00°, γ = 90.00°
Space group Pmma (No. 51)
Inequivalent atoms, fractional coordinates:
1 Hf 0.250 0.000 0.250 (multiplicity 2)
2 Mo 0.250 0.500 0.749 (multiplicity 2)

Output
- polymorph energy (0 for the lowest one) (kcal/mol of atoms) = 0.00
- energy relative to the elements (meV/atom) = 12

***

The following is a DFT calculation (PBE) of a relaxed structure of TlNi15.

a = 4.945 Å, b = 3.477 Å, c = 33.644 Å
α = 90.00°, β = 90.01°, γ = 90.00°
Space group Pm (No. 6)
Inequivalent atoms, fractional coordinates:
1 Tl 0.000 0.000 0.000 (multiplicity 1)
2 Tl 0.250 0.500 0.406 (multiplicity 1)
3 Ni 0.000 0.000 0.611 (multiplicity 1)
4 Ni 0.000 0.000 0.684 (multiplicity 1)
5 Ni 0.000 0.000 0.758 (multiplicity 1)
6 Ni 0.000 0.000 0.831 (multiplicity 1)
7 Ni 0.000 0.000 0.906 (multiplicity 1)
8 Ni 0.001 0.000 0.537 (multiplicity 1)
9 Ni 0.249 0.500 0.868 (multiplicity 1)
10 Ni 0.250 0.500 0.499 (multiplicity 1)
11 Ni 0.250 0.500 0.574 (multiplicity 1)
12 Ni 0.250 0.500 0.647 (multiplicity 1)
13 Ni 0.250 0.500 0.721 (multiplicity 1)
14 Ni 0.250 0.500 0.794 (multiplicity 1)
15 Ni 0.252 0.500 0.942 (multiplicity 1)
16 Ni 0.499 0.000 0.537 (multiplicity 1)
17 Ni 0.500 0.000 0.611 (multiplicity 1)
18 Ni 0.500 0.000 0.684 (multiplicity 1)
19 Ni 0.500 0.000 0.757 (multiplicity 1)
20 Ni 0.500 0.000 0.831 (multiplicity 1)
21 Ni 0.500 0.000 0.904 (multiplicity 1)
22 Ni 0.500 0.000 0.976 (multiplicity 1)
23 Ni 0.502 0.000 0.463 (multiplicity 1)
24 Ni 0.748 0.500 0.942 (multiplicity 1)
25 Ni 0.750 0.500 0.429 (multiplicity 1)
26 Ni 0.750 0.500 0.501 (multiplicity 1)
27 Ni 0.750 0.500 0.574 (multiplicity 1)
28 Ni 0.750 0.500 0.648 (multiplicity 1)
29 Ni 0.750 0.500 0.721 (multiplicity 1)
30 Ni 0.750 0.500 0.794 (multiplicity 1)
31 Ni 0.751 0.500 0.868 (multiplicity 1)
32 Ni 0.998 0.000 0.463 (multiplicity 1)

Output
- polymorph energy (0 for the lowest one) (kcal/mol of atoms) = 0.50

***

The following is a DFT calculation (PBE) of a relaxed structure of Mg2AlPd.

a = 6.439 Å, b = 6.439 Å, c = 6.439 Å
α = 90.00°, β = 90.00°, γ = 90.00°
Space group F-43m (No. 216)
Inequivalent atoms, fractional coordinates:
1 Mg 0.000 0.000 0.000 (multiplicity 4)
2 Mg 0.250 0.250 0.250 (multiplicity 4)
3 Al 0.000 0.000 0.500 (multiplicity 4)
4 Pd 0.250 0.250 0.750 (multiplicity 4)

Output
- total DFT energy (no corrections) (eV/atom) = -3.411

***

The following is a DFT calculation (PBE) of a relaxed structure of Na2Mg2NiSn2Ir.

a = 4.682 Å, b = 4.682 Å, c = 6.593 Å
α = 90.00°, β = 90.00°, γ = 90.00°
Space group P-4m2 (No. 115)
Inequivalent atoms, fractional coordinates:
1 Na 0.000 0.000 0.000 (multiplicity 1)
2 Na 0.500 0.500 0.500 (multiplicity 1)
3 Mg 0.000 0.500 0.248 (multiplicity 2)
4 Ni 0.000 0.000 0.500 (multiplicity 1)
5 Sn 0.000 0.500 0.748 (multiplicity 2)
6 Ir 0.500 0.500 0.000 (multiplicity 1)

Output
- total DFT energy (no corrections) (eV/atom) = -3.637

***

The following is a DFT calculation (PBE) of a relaxed structure of LaSmTlCu2.

a = 3.763 Å, b = 4.321 Å, c = 14.553 Å
α = 90.00°, β = 90.00°, γ = 90.00°
Space group Amm2 (No. 38)
Inequivalent atoms, fractional coordinates:
1 La 0.000 0.000 0.000 (multiplicity 2)
2 Sm 0.000 0.000 0.266 (multiplicity 2)
3 Tl 0.500 0.000 0.636 (multiplicity 2)
4 Cu 0.500 0.000 0.426 (multiplicity 2)
5 Cu 0.500 0.000 0.834 (multiplicity 2)

Output
- total DFT energy (no corrections) (eV/atom) = -4.183

***

The following is a DFT calculation (PBE) of a relaxed structure of PmTl3Br6.

a = 7.802 Å, b = 8.628 Å, c = 13.362 Å
α = 90.00°, β = 122.10°, γ = 90.00°
Space group P2_1/c (No. 14)
Inequivalent atoms, fractional coordinates:
1 Pm 0.000 0.000 0.000 (multiplicity 2)
2 Tl 0.298 0.078 0.769 (multiplicity 4)
3 Tl 0.500 0.000 0.500 (multiplicity 2)
4 Br 0.095 0.066 0.235 (multiplicity 4)
5 Br 0.244 0.722 0.082 (multiplicity 4)
6 Br 0.353 0.170 0.047 (multiplicity 4)

Output
- total DFT energy (no corrections) (eV/atom) = -3.472

***

| no. | ρ (g/cm3) |
| --- | --- |
| 1 | 12.53 |
| 2 | 6.23 |
| 3 | 4.53 |
| 4 | 6.70 |
| 5 | 8.71 |
| 6 | 5.39 |